This record from Alexandria via LeMat-Bulk describes ErPa6N12 after structural relaxation. The functional is PBE.

Unit cell a=10.1688 b=10.1688 c=9.3838 alpha=90.00 beta=90.00 gamma=120.00
Space group R-3 (No. 148, hexagonal axes)
One atom of each set of equivalent atoms:
Er 0.0000 0.0000 0.0000 x3
Pa 0.0500 0.2561 0.6572 x18
N 0.0358 0.2240 0.4008 x18
N 0.0415 0.2233 0.8949 x18

Calculated values
uncorrected formation energy: -1.48 eV per atom
VASP energy: -9.976 eV/atom

=====

This record from Alexandria via LeMat-Bulk describes CuNiB2 after structural relaxation. The functional is PBE.

Unit cell a=4.847 b=4.847 c=7.988 alpha=90.00 beta=90.00 gamma=90.00
Space group I-42d (No. 122)
One atom of each set of equivalent atoms:
Cu 0.000 0.000 0.000 x4
Ni 0.000 0.000 0.500 x4
B 0.229 0.250 0.625 x8

Calculated values
VASP energy: -4.938 eV/atom
E_form: 0.870 eV/atom

=====

This record from Alexandria via LeMat-Bulk describes Pm2Nd2Hg3 after structural relaxation. The functional is PBE.

Unit cell a=5.360 b=5.364 c=9.109 alpha=72.94 beta=72.99 gamma=60.05
Space group P-1 (No. 2)
One atom of each set of equivalent atoms:
Pm 0.127 0.128 0.117 x2
Nd 0.380 0.380 0.360 x2
Hg 0.000 0.000 0.500 x1
Hg 0.251 0.250 0.749 x2

Calculated values
VASP energy: -3.165 eV/atom
E_form: -0.316 eV/atom

=====

This record from Alexandria via LeMat-Bulk describes DyTm2Sc3S6 after structural relaxation. The functional is PBE.

Unit cell a=16.444 b=3.776 c=7.577 alpha=90.00 beta=103.16 gamma=90.00
Space group C2/m (No. 12)
One atom of each set of equivalent atoms:
Dy 0.000 0.000 0.000 x2
Tm 0.166 0.500 0.332 x4
Sc 0.000 0.000 0.500 x2
Sc 0.165 0.500 0.834 x4
S 0.002 0.500 0.740 x4
S 0.165 0.000 0.589 x4
S 0.171 0.000 0.079 x4

Calculated values
uncorrected formation energy: -1.91 eV per atom
VASP energy: -6.681 eV/atom

=====

This record from Alexandria via LeMat-Bulk describes Rb4C5 after structural relaxation. The functional is PBE.

Unit cell a=9.0806 b=9.0806 c=8.4019 alpha=90.00 beta=90.00 gamma=120.00
Space group P6_3/mcm (No. 193)
One atom of each set of equivalent atoms:
Rb 0.0000 0.0000 0.0000 x2
Rb 0.0000 0.4154 0.2500 x6
C 0.0000 0.2482 0.7500 x6
C 0.3333 0.6667 0.0000 x4

Calculated values
VASP energy: -2.676 eV/atom
E_form: 2.878 eV/atom

=====

This record from Alexandria via LeMat-Bulk describes Co2AgSe after structural relaxation. The functional is PBE.

Unit cell a=4.223 b=4.223 c=3.198 alpha=90.00 beta=90.00 gamma=90.00
Space group P4/mmm (No. 123)
One atom of each set of equivalent atoms:
Co 0.000 0.500 0.000 x2
Ag 0.000 0.000 0.500 x1
Se 0.500 0.500 0.500 x1

Calculated values
uncorrected formation energy: 0.42 eV per atom
VASP energy: -4.715 eV/atom

=====

This record from Alexandria via LeMat-Bulk describes I2BrO3 after structural relaxation. The functional is PBE.

Unit cell a=6.450 b=7.183 c=8.360 alpha=72.28 beta=76.37 gamma=70.28
Space group P-1 (No. 2)
One atom of each set of equivalent atoms:
I 0.090 0.367 0.334 x2
I 0.376 0.222 0.922 x2
Br 0.496 0.131 0.626 x2
O 0.102 0.611 0.346 x2
O 0.160 0.573 0.761 x2
O 0.317 0.343 0.143 x2

Calculated values
uncorrected formation energy: -0.09 eV per atom
VASP energy: -3.368 eV/atom

=====

This record from Alexandria via LeMat-Bulk describes Sm6Y2Sc3 after structural relaxation. The functional is PBE.

Unit cell a=5.956 b=8.288 c=8.368 alpha=106.08 beta=107.77 gamma=107.93
Space group P-1 (No. 2)
One atom of each set of equivalent atoms:
Sm 0.012 0.406 0.169 x2
Sm 0.148 0.047 0.875 x2
Sm 0.424 0.856 0.292 x2
Y 0.457 0.683 0.643 x2
Sc 0.063 0.234 0.559 x2
Sc 0.500 0.500 0.000 x1

Calculated values
VASP energy: -5.392 eV/atom
E_form: 0.084 eV/atom

=====

| no. | mass density (g cm⁻³) |
| --- | --- |
| 1 | 10.21 |
| 2 | 5.09 |
| 3 | 9.18 |
| 4 | 6.00 |
| 5 | 2.22 |
| 6 | 8.87 |
| 7 | 3.69 |
| 8 | 5.91 |